[1]
Below is crystalline Er2TaO at its relaxed geometry, with properties calculated at the PBE level.

Summary:
DOS at the Fermi energy   1.81 states/eV/f.u.
SG   R-3m
Crystal system   trigonal
VASP energy   -29.25 eV/f.u.

Cell: 8.9439 8.9439 8.9439 Å, 20.68 20.68 20.68°
Closest atoms and distances in Å follow each position.
Fractional positions:
Er 0.1118 0.1118 0.1118  3 O 2.35
Er 0.8882 0.8882 0.8882  3 O 2.35
Ta 0.0000 0.0000 0.0000  2 Er 2.94, 6 Ta 3.21
O 0.5000 0.5000 0.5000  6 Er 2.35

=====

[2]
Below is crystalline Er5Ta2O12 at its relaxed geometry, with properties calculated at the PBE level.

Summary:
DOS at the Fermi energy   2.51 states/eV/f.u.
SG   C2/m
Crystal system   monoclinic
VASP energy   -170.00 eV/f.u.

Cell: 6.8253 6.8253 7.3650 Å, 105.72 105.72 50.80°
Closest atoms and distances in Å follow each position.
Fractional positions:
Er 0.0000 0.0000 0.0000  6 O 2.23-2.33
Er 0.3004 0.3004 0.1363  7 O 2.26-2.41
Er 0.3087 0.3087 0.6767  7 O 2.29-2.47
Er 0.6913 0.6913 0.3233  7 O 2.29-2.47
Er 0.6996 0.6996 0.8637  7 O 2.26-2.41
Ta 0.2420 0.7580 0.5000  6 O 1.97-2.10
Ta 0.7580 0.2420 0.5000  6 O 1.97-2.10
O 0.0018 0.0018 0.3043  2 Ta 2.03, 1 Er 2.23
O 0.0966 0.5954 0.9269  4 Er 2.26-2.33
O 0.0992 0.5673 0.4131  1 Ta 1.97
O 0.4046 0.9034 0.0731  4 Er 2.26-2.33
O 0.4327 0.9008 0.5869  1 Ta 1.97
O 0.4985 0.4985 0.6969  2 Ta 2.10, 1 Er 2.30
O 0.5015 0.5015 0.3031  2 Ta 2.10, 1 Er 2.30
O 0.5673 0.0992 0.4131  1 Ta 1.97
O 0.5954 0.0966 0.9269  4 Er 2.26-2.33
O 0.9008 0.4327 0.5869  1 Ta 1.97
O 0.9034 0.4046 0.0731  4 Er 2.26-2.33
O 0.9982 0.9982 0.6957  2 Ta 2.03, 1 Er 2.23

=====

[3]
Below is crystalline Er2TaO6 at its relaxed geometry, with properties calculated at the PBE level.

Summary:
DOS at the Fermi energy   4.92 states/eV/f.u.
SG   P4_2/mnm
Crystal system   tetragonal
VASP energy   -78.23 eV/f.u.

Cell: 5.0183 5.0183 10.0219 Å, 90.00 90.00 90.00°
Closest atoms and distances in Å follow each position.
Fractional positions:
Er 0.0000 0.0000 0.1686  6 O 2.23-2.28
Er 0.0000 0.0000 0.8314  6 O 2.23-2.28
Er 0.5000 0.5000 0.3314  6 O 2.23-2.28
Er 0.5000 0.5000 0.6686  6 O 2.23-2.28
Ta 0.0000 0.0000 0.5000  6 O 2.00-2.02
Ta 0.5000 0.5000 0.0000  6 O 2.00-2.02
O 0.1874 0.1874 0.3507  1 Ta 2.00, 1 Er 2.23
O 0.1874 0.1874 0.6493  1 Ta 2.00, 1 Er 2.23
O 0.2157 0.2157 0.0000  1 Ta 2.02
O 0.2843 0.7157 0.5000  1 Ta 2.02
O 0.3126 0.6874 0.1493  1 Ta 2.00, 1 Er 2.23
O 0.3126 0.6874 0.8507  1 Ta 2.00, 1 Er 2.23
O 0.6874 0.3126 0.1493  1 Ta 2.00, 1 Er 2.23
O 0.6874 0.3126 0.8507  1 Ta 2.00, 1 Er 2.23
O 0.7157 0.2843 0.5000  1 Ta 2.02
O 0.7843 0.7843 0.0000  1 Ta 2.02
O 0.8126 0.8126 0.3507  1 Ta 2.00, 1 Er 2.23
O 0.8126 0.8126 0.6493  1 Ta 2.00, 1 Er 2.23

=====

no.,uncorrected formation energy (eV/f.u.)
1,-3.314
2,-63.985
3,-27.500